No. 1
Density functional theory data (PBE-GGA) for Ho2NiB2Ir5 after structural relaxation.

Computed properties:
Space group: No. 127
ΔH_f (0 K), eV/f.u.: -5.80

abc: 9.4786 9.4786 3.1728
angles: 90.00 90.00 90.00
Element x y z (fractional)
Ho: 0.1775 0.3225 0.0000
Ho: 0.3225 0.8225 0.0000
Ho: 0.6775 0.1775 0.0000
Ho: 0.8225 0.6775 0.0000
Ni: 0.0000 0.0000 0.0000
Ni: 0.5000 0.5000 0.0000
B: 0.1236 0.6236 0.0000
B: 0.3764 0.1236 0.0000
B: 0.6236 0.8764 0.0000
B: 0.8764 0.3764 0.0000
Ir: 0.0000 0.5000 0.5000
Ir: 0.0679 0.7825 0.5000
Ir: 0.2175 0.0679 0.5000
Ir: 0.2825 0.5679 0.5000
Ir: 0.4321 0.2825 0.5000
Ir: 0.5000 0.0000 0.5000
Ir: 0.5679 0.7175 0.5000
Ir: 0.7175 0.4321 0.5000
Ir: 0.7825 0.9321 0.5000
Ir: 0.9321 0.2175 0.5000



No. 2
Density functional theory data (PBE-GGA) for CaCd2Re after structural relaxation.

Computed properties:
Energy relative to the lowest polymorph listed for this composition, meV per atom: 111
Space group: No. 139
ΔH_f (0 K), eV/f.u.: 2.08

abc: 4.5582 4.5582 8.0223
angles: 90.00 90.00 90.00
Element x y z (fractional)
Ca: 0.0000 0.0000 0.0000
Ca: 0.5000 0.5000 0.5000
Cd: 0.0000 0.5000 0.2500
Cd: 0.0000 0.5000 0.7500
Cd: 0.5000 0.0000 0.2500
Cd: 0.5000 0.0000 0.7500
Re: 0.0000 0.0000 0.5000
Re: 0.5000 0.5000 0.0000



No. 3
Density functional theory data (PBE-GGA) for Pr15Nd4Mg after structural relaxation.

Computed properties:
Space group: No. 123
ΔH_f (0 K), eV/f.u.: 0.16

abc: 5.2091 5.2091 26.1140
angles: 90.00 90.00 90.00
Element x y z (fractional)
Pr: 0.0000 0.0000 0.0000
Pr: 0.0000 0.0000 0.1960
Pr: 0.0000 0.0000 0.3986
Pr: 0.0000 0.0000 0.6014
Pr: 0.0000 0.0000 0.8040
Pr: 0.0000 0.5000 0.0969
Pr: 0.0000 0.5000 0.2979
Pr: 0.0000 0.5000 0.5000
Pr: 0.0000 0.5000 0.7021
Pr: 0.0000 0.5000 0.9031
Pr: 0.5000 0.0000 0.0969
Pr: 0.5000 0.0000 0.2979
Pr: 0.5000 0.0000 0.5000
Pr: 0.5000 0.0000 0.7021
Pr: 0.5000 0.0000 0.9031
Nd: 0.5000 0.5000 0.1966
Nd: 0.5000 0.5000 0.3990
Nd: 0.5000 0.5000 0.6010
Nd: 0.5000 0.5000 0.8034
Mg: 0.5000 0.5000 0.0000



No. 4
Density functional theory data (PBE-GGA) for AlTcTe2 after structural relaxation.

Computed properties:
Uncorrected energy, eV per atom: -4.8595
Space group: No. 166

abc: 3.3849 3.3849 27.3919
angles: 90.00 90.00 120.00
Element x y z (fractional)
Al: 0.0000 0.0000 0.0000
Al: 0.3333 0.6667 0.6667
Al: 0.6667 0.3333 0.3333
Tc: 0.0000 0.0000 0.5000
Tc: 0.3333 0.6667 0.1667
Tc: 0.6667 0.3333 0.8333
Te: 0.0000 0.0000 0.2363
Te: 0.0000 0.0000 0.7637
Te: 0.3333 0.6667 0.4303
Te: 0.3333 0.6667 0.9030
Te: 0.6667 0.3333 0.0970
Te: 0.6667 0.3333 0.5697



No. 5
Density functional theory data (PBE-GGA) for NdDy2HoEr2 after structural relaxation.

Computed properties:
Space group: No. 58
ΔH_f (0 K), eV/f.u.: 1.68

abc: 6.5534 17.6228 3.3825
angles: 90.00 90.00 90.00
Element x y z (fractional)
Nd: 0.0000 0.0000 0.0000
Nd: 0.5000 0.5000 0.5000
Dy: 0.2237 0.3504 0.5000
Dy: 0.2763 0.8504 0.0000
Dy: 0.7237 0.1496 0.0000
Dy: 0.7763 0.6496 0.5000
Ho: 0.0000 0.5000 0.0000
Ho: 0.5000 0.0000 0.5000
Er: 0.2270 0.1831 0.0000
Er: 0.2730 0.6831 0.5000
Er: 0.7270 0.3169 0.5000
Er: 0.7730 0.8169 0.0000